Computed, not measured: a relaxed structure of Ba2SbOsO6 at the PBE-GGA level of DFT.

Unit cell a=6.0107 b=6.0165 c=5.9987 alpha=60.20 beta=59.99 gamma=90.29
Atoms (fractional coordinates):
Ba: 0.7494 0.2492 0.5008
Ba: 0.2506 0.7508 0.4992
O: 0.7555 0.2256 0.0017
O: 0.2445 0.7744 0.9983
O: 0.7887 0.7892 0.4700
O: 0.7493 0.7331 0.0478
O: 0.2113 0.2108 0.5300
O: 0.2507 0.2669 0.9522
Sb: 0.5000 0.5000 0.0000
Os: 0.0000 0.0000 0.0000

Calculated values
E_form (uncorrected) ... -18.029 eV/f.u.
Space-group type ... P-1 (2)